The following is a DFT calculation (PBE-GGA) of a relaxed structure of Sm2DyIn.

a = 4.8907 Å, b = 4.8907 Å, c = 4.9336 Å
α = 90.00°, β = 90.00°, γ = 90.00°
Space group P4/mmm (No. 123)
One atom of each set of equivalent atoms:
Sm 0.0000 0.5000 0.0000 x2
Dy 0.0000 0.0000 0.5000 x1
In 0.5000 0.5000 0.5000 x1

ΔE to the lowest computed polymorph, eV per atom: 0.000

=====

The following is a DFT calculation (PBE-GGA) of a relaxed structure of Sm12DyIn3.

a = 4.9463 Å, b = 4.9463 Å, c = 20.1588 Å
α = 90.00°, β = 90.00°, γ = 90.00°
Space group P4/mmm (No. 123)
One atom of each set of equivalent atoms:
Sm 0.0000 0.0000 0.0000 x1
Sm 0.0000 0.0000 0.2459 x2
Sm 0.0000 0.0000 0.5000 x1
Sm 0.0000 0.5000 0.1232 x4
Sm 0.0000 0.5000 0.3694 x4
Dy 0.5000 0.5000 0.5000 x1
In 0.5000 0.5000 0.0000 x1
In 0.5000 0.5000 0.2441 x2

Electronic total energy, eV/atom: -4.53

=====

The following is a DFT calculation (PBE-GGA) of a relaxed structure of Sm3Dy7In2.

a = 6.5815 Å, b = 6.5815 Å, c = 31.5844 Å
α = 90.00°, β = 90.00°, γ = 120.00°
Space group R-3m (No. 166, hexagonal axes)
One atom of each set of equivalent atoms:
Sm 0.0000 0.0000 0.0000 x3
Sm 0.0000 0.0000 0.1436 x6
Dy 0.0000 0.0000 0.5000 x3
Dy 0.0007 0.5004 0.9201 x18
In 0.0000 0.0000 0.3337 x6

Electronic total energy, eV/atom: -4.22

=====

The following is a DFT calculation (PBE-GGA) of a relaxed structure of Sm2Dy2In7.

a = 8.6771 Å, b = 10.8572 Å, c = 7.3284 Å
α = 90.00°, β = 90.00°, γ = 90.00°
Space group Cmmm (No. 65)
One atom of each set of equivalent atoms:
Sm 0.1816 0.0000 0.0000 x4
Dy 0.0000 0.2972 0.5000 x4
In 0.0000 0.0000 0.5000 x2
In 0.0000 0.5000 0.2017 x4
In 0.2500 0.2500 0.2057 x8

Electronic total energy, eV/atom: -3.43

=====

The following is a DFT calculation (PBE-GGA) of a relaxed structure of Sm4Dy2In.

a = 6.2807 Å, b = 6.6659 Å, c = 12.2094 Å
α = 83.03°, β = 75.15°, γ = 61.91°
Space group P1 (No. 1)
One atom of each set of equivalent atoms:
Sm 0.0000 0.0000 0.0000 x1
Sm 0.0340 0.1951 0.7175 x1
Sm 0.0727 0.6963 0.6348 x1
Sm 0.3180 0.5118 0.3513 x1
Sm 0.4860 0.8700 0.1348 x1
Sm 0.5466 0.0546 0.8514 x1
Sm 0.7170 0.5656 0.4999 x1
Sm 0.9463 0.3713 0.2172 x1
Dy 0.4349 0.4304 0.0594 x1
Dy 0.4651 0.6261 0.7917 x1
Dy 0.5813 0.1353 0.5596 x1
Dy 0.8078 0.9405 0.2918 x1
In 0.2086 0.0379 0.4268 x1
In 0.9635 0.5283 0.9269 x1

ΔE to the lowest computed polymorph, eV per atom: 0.000

=====

The following is a DFT calculation (PBE-GGA) of a relaxed structure of Sm4DyIn4.

a = 7.1807 Å, b = 7.1807 Å, c = 10.8681 Å
α = 90.00°, β = 90.00°, γ = 90.00°
Space group P4_2/nmc (No. 137, origin choice 2)
One atom of each set of equivalent atoms:
Sm 0.0268 0.2500 0.1752 x8
Dy 0.2500 0.7500 0.2500 x2
In 0.0147 0.2500 0.4765 x8

Electronic total energy, eV/atom: -3.94

=====

The following is a DFT calculation (PBE-GGA) of a relaxed structure of SmDy2In4.

a = 5.2820 Å, b = 5.2820 Å, c = 14.7121 Å
α = 90.00°, β = 90.00°, γ = 90.00°
Space group I4/mmm (No. 139)
One atom of each set of equivalent atoms:
Sm 0.0000 0.0000 0.0000 x2
Dy 0.0000 0.0000 0.2531 x4
In 0.0000 0.5000 0.1191 x8

Electronic total energy, eV/atom: -3.86

=====

The following is a DFT calculation (PBE-GGA) of a relaxed structure of SmDy4In.

a = 3.5796 Å, b = 3.5796 Å, c = 14.2860 Å
α = 90.00°, β = 90.00°, γ = 90.00°
Space group P4/mmm (No. 123)
One atom of each set of equivalent atoms:
Sm 0.0000 0.0000 0.0000 x1
Dy 0.0000 0.0000 0.3532 x2
Dy 0.5000 0.5000 0.1778 x2
In 0.5000 0.5000 0.5000 x1

ΔE to the lowest computed polymorph, eV per atom: 0.000